Record 1
A plane-wave DFT calculation with GGA-PBE was carried out for an optimized crystal structure of LiCrFe2.

Lattice parameters (Å, degrees): 2.850 3.923 3.923 90.00 90.00 90.00
Each line ends with the local moment (μB).
Fractional coordinates of all 4 atoms:
Li1 0.500 0.500 0.000  -0.03
Cr1 0.500 0.000 0.500  -1.42
Fe1 0.000 0.000 0.000  1.33
Fe2 0.000 0.500 0.500  1.33

Computed properties:
Final energy   -6.7994 eV/atom
Formation enthalpy at 0 K   316 meV/atom

***

Record 2
A plane-wave DFT calculation with GGA-PBE was carried out for an optimized crystal structure of SmPaZn.

Lattice parameters (Å, degrees): 3.224 3.224 7.397 102.59 102.59 90.00
Each line ends with the local moment (μB).
Fractional coordinates of all 3 atoms:
Zn1 0.668 0.668 0.337  0.00
Sm1 0.013 0.013 0.025  0.00
Pa1 0.319 0.319 0.638  0.28

Computed properties:
Final energy   -5.1027 eV/atom
Formation enthalpy at 0 K   60 meV/atom

***

Record 3
A plane-wave DFT calculation with GGA-PBE was carried out for an optimized crystal structure of LiHo2Cu3.

Lattice parameters (Å, degrees): 5.539 5.539 8.227 105.41 105.41 102.16
Fractional coordinates of all 12 atoms:
Cu1 0.332 0.834 0.167
Ho1 0.753 0.753 0.000
Cu2 0.834 0.332 0.167
Li1 0.667 0.667 0.334
Ho2 0.250 0.750 0.500
Ho3 0.750 0.250 0.500
Ho4 0.247 0.247 0.000
Cu3 0.668 0.166 0.833
Cu4 0.834 0.834 0.667
Li2 0.333 0.333 0.666
Cu5 0.166 0.166 0.333
Cu6 0.166 0.668 0.833

Computed properties:
Final energy   -4.0353 eV/atom
Formation enthalpy at 0 K   -142 meV/atom

***

Record 4
A plane-wave DFT calculation with GGA-PBE was carried out for an optimized crystal structure of U2GeC.

Lattice parameters (Å, degrees): 3.651 7.013 5.892 90.00 90.00 105.09
Fractional coordinates of all 8 atoms:
U1 0.643 0.287 0.458
U2 0.643 0.287 0.042
U3 0.357 0.713 0.542
Ge1 0.987 0.974 0.250
C1 0.234 0.468 0.250
C2 0.766 0.532 0.750
Ge2 0.013 0.026 0.750
U4 0.357 0.713 0.958

Computed properties:
Final energy   -9.1978 eV/atom
Formation enthalpy at 0 K   -93 meV/atom

***

Record 5
A plane-wave DFT calculation with GGA-PBE was carried out for an optimized crystal structure of PmLuScTl.

Lattice parameters (Å, degrees): 5.357 5.357 5.357 60.00 60.00 60.00
Each line ends with the local moment (μB).
Fractional coordinates of all 4 atoms:
Tl1 0.250 0.250 0.250  0.00
Sc1 0.000 0.000 0.000  0.22
Pm1 0.500 0.500 0.500  0.10
Lu1 0.750 0.750 0.750  0.19

Computed properties:
Final energy   -4.5275 eV/atom
Formation enthalpy at 0 K   -35 meV/atom

***

Record 6
A plane-wave DFT calculation with GGA-PBE was carried out for an optimized crystal structure of NaCaEuTl.

Lattice parameters (Å, degrees): 5.674 5.674 5.674 60.00 60.00 60.00
Each line ends with the local moment (μB).
Fractional coordinates of all 4 atoms:
Ca1 0.250 0.250 0.250  0.00
Eu1 0.750 0.750 0.750  -6.88
Na1 0.500 0.500 0.500  -0.01
Tl1 0.000 0.000 0.000  0.02

Computed properties:
Final energy   -4.1927 eV/atom
Formation enthalpy at 0 K   -202 meV/atom

***

Record 7
A plane-wave DFT calculation with GGA-PBE was carried out for an optimized crystal structure of Pm4AlIn2.

Lattice parameters (Å, degrees): 5.318 5.318 9.220 73.24 73.24 60.00
Fractional coordinates of all 7 atoms:
Al1 0.000 0.000 0.000
Pm1 0.378 0.378 0.867
Pm2 0.126 0.126 0.621
Pm3 0.874 0.874 0.379
In1 0.750 0.750 0.750
Pm4 0.622 0.622 0.133
In2 0.250 0.250 0.250

Computed properties:
Final energy   -4.3146 eV/atom
Formation enthalpy at 0 K   -283 meV/atom

***

Record 8
A plane-wave DFT calculation with GGA-PBE was carried out for an optimized crystal structure of BaScBeF2.

Lattice parameters (Å, degrees): 4.176 8.282 4.176 90.00 90.00 90.00
Each line ends with the local moment (μB).
Fractional coordinates of all 5 atoms:
Be1 0.500 0.500 0.500  -0.08
F1 0.500 0.000 0.000  -0.02
Sc1 0.000 0.000 0.000  0.40
F2 0.000 0.000 0.500  -0.01
Ba1 0.000 0.500 0.000  -0.06

Computed properties:
Final energy   -4.5120 eV/atom
Energy relative to the elements, uncorrected   -1367.4 meV per atom

***

Record 9
A plane-wave DFT calculation with GGA-PBE was carried out for an optimized crystal structure of Zr2TiTc3.

Lattice parameters (Å, degrees): 3.234 3.234 9.703 90.00 90.00 90.00
Fractional coordinates of all 6 atoms:
Tc1 0.000 0.000 0.655
Tc2 0.000 0.000 0.000
Tc3 0.000 0.000 0.345
Ti1 0.500 0.500 0.500
Zr1 0.500 0.500 0.828
Zr2 0.500 0.500 0.172

Computed properties:
Final energy   -9.7176 eV/atom
Formation enthalpy at 0 K   -369 meV/atom

***

Record 10
A plane-wave DFT calculation with GGA-PBE was carried out for an optimized crystal structure of MgPaAgPt.

Lattice parameters (Å, degrees): 4.882 4.882 4.882 60.00 60.00 60.00
Fractional coordinates of all 4 atoms:
Ag1 0.000 0.000 0.000
Pa1 0.250 0.250 0.250
Mg1 0.750 0.750 0.750
Pt1 0.500 0.500 0.500

Computed properties:
Final energy   -5.3855 eV/atom
Formation enthalpy at 0 K   -390 meV/atom

***

Record 11
A plane-wave DFT calculation with GGA-PBE was carried out for an optimized crystal structure of BiSbSN2.

Lattice parameters (Å, degrees): 4.306 4.306 5.371 90.00 90.00 90.00
Each line ends with the local moment (μB).
Fractional coordinates of all 5 atoms:
S1 0.000 0.000 0.500  0.00
Sb1 0.500 0.500 0.500  -0.07
N1 0.000 0.500 0.000  0.38
N2 0.500 0.000 0.000  0.38
Bi1 0.000 0.000 0.000  -0.03

Computed properties:
Final energy   -4.3026 eV/atom
Energy relative to the elements, uncorrected   1453.7 meV per atom

***

What did the first record say?
A plane-wave DFT calculation with GGA-PBE was carried out for an optimized crystal structure of LiCrFe2.

Lattice parameters (Å, degrees): 2.850 3.923 3.923 90.00 90.00 90.00
Each line ends with the local moment (μB).
Fractional coordinates of all 4 atoms:
Li1 0.500 0.500 0.000  -0.03
Cr1 0.500 0.000 0.500  -1.42
Fe1 0.000 0.000 0.000  1.33
Fe2 0.000 0.500 0.500  1.33

Computed properties:
Final energy   -6.7994 eV/atom
Formation enthalpy at 0 K   316 meV/atom

***

Among the records above, which one has the lowest final energy? Zr2TiTc3

***

Repeat the eighth record exactly.
A plane-wave DFT calculation with GGA-PBE was carried out for an optimized crystal structure of BaScBeF2.

Lattice parameters (Å, degrees): 4.176 8.282 4.176 90.00 90.00 90.00
Each line ends with the local moment (μB).
Fractional coordinates of all 5 atoms:
Be1 0.500 0.500 0.500  -0.08
F1 0.500 0.000 0.000  -0.02
Sc1 0.000 0.000 0.000  0.40
F2 0.000 0.000 0.500  -0.01
Ba1 0.000 0.500 0.000  -0.06

Computed properties:
Final energy   -4.5120 eV/atom
Energy relative to the elements, uncorrected   -1367.4 meV per atom